(1)
A geometry-optimized In2Pt13 structure, computed with PBE.

Formation enthalpy at 0 K ... 0.22 eV per atom
V ... 20.231 Å³/atom
Magnetic moment ... 0.00 μB per cell

a = 7.830 Å, b = 7.830 Å, c = 7.830 Å
α = 55.44°, β = 55.44°, γ = 55.44°
Fractional positions:
1 In 0.246 0.246 0.246
2 In 0.754 0.754 0.754
3 Pt 0.000 0.000 0.000
4 Pt 0.020 0.020 0.638
5 Pt 0.020 0.638 0.020
6 Pt 0.251 0.251 0.612
7 Pt 0.251 0.612 0.251
8 Pt 0.362 0.980 0.980
9 Pt 0.388 0.749 0.749
10 Pt 0.612 0.251 0.251
11 Pt 0.638 0.020 0.020
12 Pt 0.749 0.388 0.749
13 Pt 0.749 0.749 0.388
14 Pt 0.980 0.362 0.980
15 Pt 0.980 0.980 0.362

=====

(2)
A geometry-optimized CuIrW3 structure, computed with PBE.

Formation enthalpy at 0 K ... 2.10 eV per atom
V ... 21.353 Å³/atom
Magnetic moment ... 0.00 μB per cell

a = 4.744 Å, b = 4.744 Å, c = 4.744 Å
α = 90.00°, β = 90.00°, γ = 90.00°
Fractional positions:
1 Cu 0.000 0.000 0.000
2 Ir 0.500 0.500 0.500
3 W 0.000 0.500 0.500
4 W 0.500 0.000 0.500
5 W 0.500 0.500 0.000

=====

(3)
A geometry-optimized CdAgP2Cl structure, computed with PBE.

Raw formation energy ... 3.65 eV per formula unit
V ... 24.409 Å³/atom
Magnetic moment ... 1.36 μB per cell

a = 4.831 Å, b = 4.831 Å, c = 5.229 Å
α = 90.00°, β = 90.00°, γ = 90.00°
Fractional positions:
1 Cd 0.000 0.000 0.000
2 Ag 0.500 0.500 0.500
3 P 0.000 0.500 0.500
4 P 0.500 0.000 0.500
5 Cl 0.500 0.500 0.000